VASP calculation (PBE-GGA) on Sc2Si3Ir5 after structural relaxation.

Cell: 3.9728 6.5068 11.8915 Å, 90.00 99.62 90.00°
Closest atoms and distances in Å follow each position.
Element x y z (fractional)
Ir (0.5976, 0.9033, 0.1951)  3 Si 2.40-2.53, 1 Ir 2.67
Ir (0.9445, 0.0953, 0.8891)  4 Si 2.42-2.45
Ir (0.8701, 0.7192, 0.7402)  2 Si 2.41-2.62
Ir (0.2931, 0.5173, 0.5862)  3 Si 2.37-2.48
Ir (0.2930, 0.9297, 0.5861)  4 Si 2.35-2.47
Ir (0.1299, 0.2192, 0.2598)  2 Si 2.41-2.62
Ir (0.7069, 0.0173, 0.4138)  3 Si 2.37-2.48
Ir (0.4024, 0.4033, 0.8049)  3 Si 2.40-2.53, 1 Ir 2.67
Ir (0.7070, 0.4297, 0.4139)  4 Si 2.35-2.47
Ir (0.0555, 0.5953, 0.1109)  4 Si 2.42-2.45
Sc (0.4786, 0.7567, 0.9572)  5 Si 2.68-2.84, 4 Ir 2.88-2.95
Sc (0.5214, 0.2567, 0.0428)  5 Si 2.68-2.84, 4 Ir 2.88-2.95
Sc (0.8256, 0.2348, 0.6513)  9 Ir 2.81-3.12, 4 Si 2.87-2.95
Sc (0.1744, 0.7348, 0.3487)  9 Ir 2.81-3.12, 4 Si 2.87-2.95
Si (0.3901, 0.0171, 0.7801)  4 Ir 2.35-2.53
Si (0.7671, 0.7248, 0.5343)  7 Ir 2.37-2.48
Si (0.9573, 0.4666, 0.9146)  5 Ir 2.40-2.62
Si (0.0427, 0.9666, 0.0854)  5 Ir 2.40-2.62
Si (0.6099, 0.5171, 0.2199)  4 Ir 2.35-2.53
Si (0.2329, 0.2248, 0.4657)  7 Ir 2.37-2.48

V ... 152 Å³/f.u.
Formation energy without anion corrections ... -904 meV per atom
Space group ... Cmc2_1 (36)
Total DFT energy (no corrections) ... -82.273 eV/f.u.